Density functional theory data (GGA-PBE) for a relaxed LiSn3Se6 crystal.

Structure (extended XYZ):
```
20
Lattice="6.8493 0.0000 0.0441 0.0000 7.2965 0.0000 0.1470 0.0000 10.2391" Properties=species:S:1:pos:R:3 pbc="T T T"
Sn 6.9295 3.1208 7.1886
Li 3.4982 3.6483 5.1416
Sn 0.0735 0.0000 5.1195
Li 0.0000 0.0000 0.0000
Se 1.2990 2.3353 1.0763
Se 2.2058 6.0045 0.4434
Se 2.5883 4.1195 7.6442
Se 5.9394 6.8253 2.5467
Se 1.0569 0.4712 7.7365
Se 4.7905 1.2920 9.8398
Se 5.6973 4.9613 9.2069
Se 2.1992 5.9835 4.0653
Se 4.7972 1.3130 6.2179
Sn 3.5650 6.7690 8.2362
Se 5.7040 4.9403 5.5850
Se 4.4080 3.1771 2.6391
Sn 0.0668 4.1758 3.0946
Sn 3.4246 3.6483 0.0221
Sn 3.4314 0.5275 2.0470
Se 1.2924 2.3563 4.6982
```

For the density of states at the Fermi level, the calculation gives 9.60 states/eV per cell. The calculation puts the energy relative to the lowest polymorph listed for this composition at 58 meV/atom. The volume comes out at 25.6 A^3/atom. For the density, the calculation gives 5432 kg/m3. The formation energy (no corrections) is -0.363 eV per atom. The symmetry is P2_1/c.



Density functional theory data (GGA-PBE) for a relaxed CaCuSi2 crystal.

Structure (extended XYZ):
```
4
Lattice="6.3268 -0.0016 -0.0055 -2.5541 4.5281 -0.0579 1.2187 0.7123 2.3778" Properties=species:S:1:pos:R:3 pbc="T T T"
Si 3.7728 0.3553 1.1862
Cu 1.8864 2.2632 -0.0317
Ca -0.6677 2.6202 1.1600
Si 0.0000 0.0000 0.0000
```

For the density of states at the Fermi level, the calculation gives 1.74 states/eV per cell. The volume comes out at 17.1 A^3/atom. For the density, the calculation gives 3879 kg/m3. The formation energy (no corrections) is 0.162 eV per atom. The symmetry is C2/m.



Density functional theory data (GGA-PBE) for a relaxed Ac6PS12 crystal.

Structure (extended XYZ):
```
19
Lattice="-7.3962 3.5387 0.9851 0.1953 -4.3328 7.0274 4.6938 6.3606 2.3890" Properties=species:S:1:pos:R:3 pbc="T T T"
S -5.0209 -1.4146 7.4021
S 1.5431 2.4432 4.7344
S -0.1432 5.4076 5.3862
S -2.2287 4.1686 2.9020
Ac 0.7678 4.3872 2.7484
S -3.6170 7.8149 2.8012
P 0.0000 0.0000 0.0000
Ac 1.3757 3.7596 7.3932
Ac 0.4736 -0.3296 5.2017
S -4.0502 3.1233 5.6670
S -6.9204 2.5867 3.0772
S -0.2784 1.3980 7.4995
S 1.1100 -2.2483 7.6003
Ac -3.8827 1.8069 3.0083
S -2.3639 0.1589 5.0152
S 2.5139 6.9811 2.9994
S 4.4133 2.9799 7.3243
Ac -3.2749 1.1794 7.6531
Ac -2.9807 5.8961 5.1998
```

For the density of states at the Fermi level, the calculation gives 17.76 states/eV per cell. The volume comes out at 28.6 A^3/atom. For the density, the calculation gives 5432 kg/m3. The formation energy (no corrections) is -1.594 eV per atom. The symmetry is R-3.



Density functional theory data (GGA-PBE) for a relaxed TiBAsBr2 crystal.

Structure (extended XYZ):
```
5
Lattice="-2.7657 -0.0763 3.6325 1.0513 -4.3867 0.7083 3.5441 1.2894 2.7255" Properties=species:S:1:pos:R:3 pbc="T T T"
Ti 0.9148 -1.5868 3.5331
As 1.7720 0.6447 1.3627
Br 0.5256 -2.1934 0.3541
B 0.0000 0.0000 0.0000
Br -1.3829 -0.0382 1.8163
```

For the density of states at the Fermi level, the calculation gives 5.27 states/eV per cell. The calculation puts the energy relative to the lowest polymorph listed for this composition at 67 meV/atom. The volume comes out at 19.4 A^3/atom. For the density, the calculation gives 5022 kg/m3. The formation energy (no corrections) is 0.715 eV per atom. The symmetry is P4/mmm.



Density functional theory data (GGA-PBE) for a relaxed AcNdSm crystal.

Structure (extended XYZ):
```
3
Lattice="-0.0840 0.8627 -3.6879 0.9810 -3.4875 1.1076 -8.7622 -2.5941 -0.4074" Properties=species:S:1:pos:R:3 pbc="T T T"
Ac -8.7480 -2.5899 -0.4067
Sm -5.1583 -3.7499 -0.7598
Nd -2.7210 -1.4731 -2.2285
```

Its calculated formation energy is 40 meV/atom. For the density of states at the Fermi level, the calculation gives 4.44 states/eV per cell. The calculation puts the energy relative to the lowest polymorph listed for this composition at 5 meV/atom. The volume comes out at 37.9 A^3/atom. For the density, the calculation gives 7618 kg/m3. The symmetry is P3m1.



Density functional theory data (GGA-PBE) for a relaxed AlSnW3 crystal.

Structure (extended XYZ):
```
5
Lattice="-1.7943 3.8158 -2.4370 -3.5274 0.4653 3.3257 2.8385 2.9903 2.5923" Properties=species:S:1:pos:R:3 pbc="T T T"
W 1.4192 1.4951 1.2961
W -1.7637 0.2326 1.6628
W -0.8971 1.9079 -1.2185
Sn 0.0000 0.0000 0.0000
Al -1.2416 3.6357 1.7405
```

Its calculated formation energy is 2656 meV/atom. For the density of states at the Fermi level, the calculation gives 4.42 states/eV per cell. The calculation puts the energy relative to the lowest polymorph listed for this composition at 938 meV/atom. The volume comes out at 23.1 A^3/atom. For the density, the calculation gives 10022 kg/m3. The symmetry is Pm-3m.



Density functional theory data (GGA-PBE) for a relaxed HgSb2Se crystal.

Structure (extended XYZ):
```
4
Lattice="-5.1516 3.2609 -1.4528 -1.3876 -2.6073 -0.9320 -3.6579 -3.8385 4.3555" Properties=species:S:1:pos:R:3 pbc="T T T"
Sb -0.5700 -0.7346 0.3724
Se -3.3202 -4.2359 2.2660
Sb -3.1445 0.9175 -0.3100
Hg -5.6852 -2.3548 1.3542
```

For the density of states at the Fermi level, the calculation gives 1.26 states/eV per cell. The calculation puts the energy relative to the lowest polymorph listed for this composition at 29 meV/atom. The volume comes out at 28.5 A^3/atom. For the density, the calculation gives 7628 kg/m3. The formation energy (no corrections) is 0.026 eV per atom. The symmetry is Pm.



Density functional theory data (GGA-PBE) for a relaxed KSn8Pt2 crystal.

Structure (extended XYZ):
```
11
Lattice="-5.0362 -1.3936 -2.5402 4.1964 -3.7236 -4.7876 -0.8686 -4.5736 5.7205" Properties=species:S:1:pos:R:3 pbc="T T T"
Pt 0.6852 -4.3129 2.4970
Sn 0.7082 -1.8891 -1.6202
Pt 2.6427 -3.9844 -1.5641
Sn -2.4166 -7.8018 0.0129
Sn -1.8994 -5.0209 1.3648
Sn -0.6993 -2.1253 1.2998
K -2.5181 -0.6968 -1.2701
Sn -2.5980 -4.0970 -1.5837
Sn 0.1911 -4.6700 -2.9722
Sn -1.0091 -7.5656 -2.9072
Sn 0.8897 -5.5939 -0.0237
```

Its calculated formation energy is -178 meV/atom. For the density of states at the Fermi level, the calculation gives 4.60 states/eV per cell. The calculation puts the energy relative to the lowest polymorph listed for this composition at 0 meV/atom. The volume comes out at 27.5 A^3/atom. For the density, the calculation gives 7578 kg/m3. The symmetry is C2/m.